No. 1
This record from Alexandria via LeMat-Bulk describes a relaxed PrTmAgBi crystal. The functional is PBE-GGA. Values from VASP.

Quantum ESPRESSO input file:
```
&SYSTEM
  ibrav = 0, nat = 4, ntyp = 4
/
ATOMIC_SPECIES
Pr 140.91 Pr.upf
Tm 168.93 Tm.upf
Ag 107.87 Ag.upf
Bi 208.98 Bi.upf
CELL_PARAMETERS angstrom
0.000 3.795 3.795
3.795 0.000 3.795
3.795 3.795 0.000
ATOMIC_POSITIONS angstrom
Pr 0.000 0.000 0.000
Tm 3.795 3.795 3.795
Ag 1.898 1.898 1.898
Bi 5.693 5.693 5.693
```

Computed properties:
E_form, meV per atom: -410

No. 2
This record from Alexandria via LeMat-Bulk describes a relaxed PrYAgBi crystal. The functional is PBE-GGA. Values from VASP.

Quantum ESPRESSO input file:
```
&SYSTEM
  ibrav = 0, nat = 4, ntyp = 4
/
ATOMIC_SPECIES
Pr 140.91 Pr.upf
Y 88.91 Y.upf
Ag 107.87 Ag.upf
Bi 208.98 Bi.upf
CELL_PARAMETERS angstrom
0.000 3.818 3.818
3.818 0.000 3.818
3.818 3.818 0.000
ATOMIC_POSITIONS angstrom
Pr 0.000 0.000 0.000
Y 3.818 3.818 3.818
Ag 5.727 5.727 5.727
Bi 1.909 1.909 1.909
```

Computed properties:
E_form, meV per atom: -467

No. 3
This record from Alexandria via LeMat-Bulk describes a relaxed Ag2Bi2Pt crystal. The functional is PBE-GGA. Values from VASP.

Quantum ESPRESSO input file:
```
&SYSTEM
  ibrav = 0, nat = 10, ntyp = 3
/
ATOMIC_SPECIES
Ag 107.87 Ag.upf
Bi 208.98 Bi.upf
Pt 195.08 Pt.upf
CELL_PARAMETERS angstrom
7.392 0.000 0.000
0.000 7.392 0.000
0.000 0.000 4.482
ATOMIC_POSITIONS angstrom
Ag 1.039 2.657 0.000
Ag 2.657 6.353 0.000
Ag 4.735 1.039 0.000
Ag 6.353 4.735 0.000
Bi 1.192 4.888 2.241
Bi 2.504 1.192 2.241
Bi 4.888 6.200 2.241
Bi 6.200 2.504 2.241
Pt 0.000 0.000 2.241
Pt 3.696 3.696 2.241
```

Computed properties:
E_form, meV per atom: 180
Energy above the most stable polymorph in this dataset, kJ/mol of atoms: 2.92

No. 4
This record from Alexandria via LeMat-Bulk describes a relaxed AgBi2Pt2 crystal. The functional is PBE-GGA. Values from VASP.

Quantum ESPRESSO input file:
```
&SYSTEM
  ibrav = 0, nat = 10, ntyp = 3
/
ATOMIC_SPECIES
Ag 107.87 Ag.upf
Bi 208.98 Bi.upf
Pt 195.08 Pt.upf
CELL_PARAMETERS angstrom
7.565 0.000 0.000
0.000 7.565 0.000
0.000 0.000 3.832
ATOMIC_POSITIONS angstrom
Ag 0.000 0.000 0.000
Ag 3.782 3.782 0.000
Bi 1.258 2.524 1.916
Bi 2.524 6.307 1.916
Bi 5.041 1.258 1.916
Bi 6.307 5.041 1.916
Pt 1.026 4.809 0.000
Pt 2.756 1.026 0.000
Pt 4.809 6.539 0.000
Pt 6.539 2.756 0.000
```

Computed properties:
E_form, meV per atom: -100
Energy above the most stable polymorph in this dataset, kJ/mol of atoms: 0.00